No. 1
DFT (GGA-PBE) results for an optimized crystal structure of Li2BeBiSe.

Computed properties:
- D(E_F) (states/eV/f.u.) = 2.21
- raw total energy (eV/atom) = -3.200
- ΔE_f (raw) (eV per atom) = -0.216

```
data_Li2BeBiSe
_chemical_formula_sum 'Li2 Be1 Bi1 Se1'
_cell_length_a 5.0389
_cell_length_b 5.0389
_cell_length_c 4.1239
_cell_angle_alpha 90.00
_cell_angle_beta 90.00
_cell_angle_gamma 90.00
_symmetry_space_group_name_H-M 'P 4/m m m'
_symmetry_Int_Tables_number 123
_symmetry_space_group_name_Hall '-P 4 2'
loop_
_atom_site_label
_atom_site_fract_x
_atom_site_fract_y
_atom_site_fract_z
Li1 0.0000 0.5000 0.0000
Be1 0.0000 0.0000 0.5000
Bi1 0.5000 0.5000 0.5000
Se1 0.0000 0.0000 0.0000
```

No. 2
DFT (GGA-PBE) results for an optimized crystal structure of Sr2LiBeBi.

Computed properties:
- calculated formation energy (eV/atom) = 0.241
- D(E_F) (states/eV/f.u.) = 6.16
- raw total energy (eV/atom) = -2.336

```
data_Sr2LiBeBi
_chemical_formula_sum 'Sr2 Li1 Be1 Bi1'
_cell_length_a 6.4944
_cell_length_b 6.4944
_cell_length_c 4.7356
_cell_angle_alpha 90.00
_cell_angle_beta 90.00
_cell_angle_gamma 90.00
_symmetry_space_group_name_H-M 'P 4/m m m'
_symmetry_Int_Tables_number 123
_symmetry_space_group_name_Hall '-P 4 2'
loop_
_atom_site_label
_atom_site_fract_x
_atom_site_fract_y
_atom_site_fract_z
Sr1 0.0000 0.5000 0.0000
Li1 0.0000 0.0000 0.5000
Be1 0.5000 0.5000 0.5000
Bi1 0.5000 0.5000 0.0000
```

No. 3
DFT (GGA-PBE) results for an optimized crystal structure of LiBeBiTe2.

Computed properties:
- D(E_F) (states/eV/f.u.) = 4.15
- raw total energy (eV/atom) = -2.379
- ΔE_f (raw) (eV per atom) = 0.782

```
data_LiBeBiTe2
_chemical_formula_sum 'Li1 Be1 Bi1 Te2'
_cell_length_a 5.9920
_cell_length_b 5.9920
_cell_length_c 5.1558
_cell_angle_alpha 90.00
_cell_angle_beta 90.00
_cell_angle_gamma 90.00
_symmetry_space_group_name_H-M 'P 4/m m m'
_symmetry_Int_Tables_number 123
_symmetry_space_group_name_Hall '-P 4 2'
loop_
_atom_site_label
_atom_site_fract_x
_atom_site_fract_y
_atom_site_fract_z
Li1 0.0000 0.0000 0.0000
Be1 0.5000 0.5000 0.0000
Bi1 0.0000 0.0000 0.5000
Te1 0.0000 0.5000 0.5000
```

No. 4
DFT (GGA-PBE) results for an optimized crystal structure of LiTiBe2Bi.

Computed properties:
- calculated formation energy (eV/atom) = 0.760
- D(E_F) (states/eV/f.u.) = 2.06
- raw total energy (eV/atom) = -3.468

```
data_LiTiBe2Bi
_chemical_formula_sum 'Li1 Ti1 Be2 Bi1'
_cell_length_a 4.1681
_cell_length_b 4.1681
_cell_length_c 4.6305
_cell_angle_alpha 90.00
_cell_angle_beta 90.00
_cell_angle_gamma 90.00
_symmetry_space_group_name_H-M 'P 4/m m m'
_symmetry_Int_Tables_number 123
_symmetry_space_group_name_Hall '-P 4 2'
loop_
_atom_site_label
_atom_site_fract_x
_atom_site_fract_y
_atom_site_fract_z
Li1 0.0000 0.0000 0.0000
Ti1 0.0000 0.0000 0.5000
Be1 0.0000 0.5000 0.0000
Bi1 0.5000 0.5000 0.5000
```

No. 5
DFT (GGA-PBE) results for an optimized crystal structure of Lu3BeBi.

Computed properties:
- calculated formation energy (eV/atom) = -0.161
- D(E_F) (states/eV/f.u.) = 2.86
- raw total energy (eV/atom) = -4.395

```
data_Lu3BeBi
_chemical_formula_sum 'Lu3 Be1 Bi1'
_cell_length_a 5.0837
_cell_length_b 5.0837
_cell_length_c 5.0837
_cell_angle_alpha 90.00
_cell_angle_beta 90.00
_cell_angle_gamma 90.00
_symmetry_space_group_name_H-M 'P m -3 m'
_symmetry_Int_Tables_number 221
_symmetry_space_group_name_Hall '-P 4 2 3'
loop_
_atom_site_label
_atom_site_fract_x
_atom_site_fract_y
_atom_site_fract_z
Lu1 0.0000 0.0000 0.5000
Be1 0.0000 0.0000 0.0000
Bi1 0.5000 0.5000 0.5000
```

No. 6
DFT (GGA-PBE) results for an optimized crystal structure of MgBeBi3.

Computed properties:
- energy above the most stable polymorph in this dataset (meV/atom) = 0
- calculated formation energy (eV/atom) = 0.435
- D(E_F) (states/eV/f.u.) = 3.10
- raw total energy (eV/atom) = -2.958

```
data_MgBeBi3
_chemical_formula_sum 'Mg1 Be1 Bi3'
_cell_length_a 5.1825
_cell_length_b 5.1825
_cell_length_c 5.1825
_cell_angle_alpha 90.00
_cell_angle_beta 90.00
_cell_angle_gamma 90.00
_symmetry_space_group_name_H-M 'P m -3 m'
_symmetry_Int_Tables_number 221
_symmetry_space_group_name_Hall '-P 4 2 3'
loop_
_atom_site_label
_atom_site_fract_x
_atom_site_fract_y
_atom_site_fract_z
Mg1 0.0000 0.0000 0.0000
Be1 0.5000 0.5000 0.5000
Bi1 0.0000 0.5000 0.5000
```

No. 7
DFT (GGA-PBE) results for an optimized crystal structure of MgBeBi3.

Computed properties:
- energy above the most stable polymorph in this dataset (meV/atom) = 595
- calculated formation energy (eV/atom) = 1.030
- D(E_F) (states/eV/f.u.) = 7.49
- raw total energy (eV/atom) = -2.363

```
data_MgBeBi3
_chemical_formula_sum 'Mg1 Be1 Bi3'
_cell_length_a 5.4857
_cell_length_b 5.4857
_cell_length_c 5.4857
_cell_angle_alpha 90.00
_cell_angle_beta 90.00
_cell_angle_gamma 90.00
_symmetry_space_group_name_H-M 'P m -3 m'
_symmetry_Int_Tables_number 221
_symmetry_space_group_name_Hall '-P 4 2 3'
loop_
_atom_site_label
_atom_site_fract_x
_atom_site_fract_y
_atom_site_fract_z
Mg1 0.0000 0.0000 0.0000
Be1 0.5000 0.5000 0.5000
Bi1 0.0000 0.0000 0.5000
```

No. 8
DFT (GGA-PBE) results for an optimized crystal structure of MgBe3Bi.

Computed properties:
- energy above the most stable polymorph in this dataset (meV/atom) = 50
- calculated formation energy (eV/atom) = 1.373
- D(E_F) (states/eV/f.u.) = 3.35
- raw total energy (eV/atom) = -1.958

```
data_MgBe3Bi
_chemical_formula_sum 'Mg1 Be3 Bi1'
_cell_length_a 4.8998
_cell_length_b 4.8998
_cell_length_c 4.8998
_cell_angle_alpha 90.00
_cell_angle_beta 90.00
_cell_angle_gamma 90.00
_symmetry_space_group_name_H-M 'P m -3 m'
_symmetry_Int_Tables_number 221
_symmetry_space_group_name_Hall '-P 4 2 3'
loop_
_atom_site_label
_atom_site_fract_x
_atom_site_fract_y
_atom_site_fract_z
Mg1 0.0000 0.0000 0.0000
Be1 0.0000 0.5000 0.5000
Bi1 0.5000 0.5000 0.5000
```

No. 9
DFT (GGA-PBE) results for an optimized crystal structure of MgBe2Bi.

Computed properties:
- energy above the most stable polymorph in this dataset (meV/atom) = 0
- calculated formation energy (eV/atom) = 0.657
- D(E_F) (states/eV/f.u.) = 2.80
- raw total energy (eV/atom) = -2.575

```
data_MgBe2Bi
_chemical_formula_sum 'Mg4 Be8 Bi4'
_cell_length_a 6.6657
_cell_length_b 6.6657
_cell_length_c 6.6657
_cell_angle_alpha 90.00
_cell_angle_beta 90.00
_cell_angle_gamma 90.00
_symmetry_space_group_name_H-M 'F m -3 m'
_symmetry_Int_Tables_number 225
_symmetry_space_group_name_Hall '-F 4 2 3'
loop_
_atom_site_label
_atom_site_fract_x
_atom_site_fract_y
_atom_site_fract_z
Mg1 0.0000 0.0000 0.0000
Be1 0.2500 0.2500 0.2500
Bi1 0.0000 0.0000 0.5000
```

No. 10
DFT (GGA-PBE) results for an optimized crystal structure of MgBe3Bi.

Computed properties:
- energy above the most stable polymorph in this dataset (meV/atom) = 0
- calculated formation energy (eV/atom) = 1.323
- D(E_F) (states/eV/f.u.) = 2.63
- raw total energy (eV/atom) = -2.008

```
data_MgBe3Bi
_chemical_formula_sum 'Mg1 Be3 Bi1'
_cell_length_a 4.5713
_cell_length_b 4.5713
_cell_length_c 4.5713
_cell_angle_alpha 90.00
_cell_angle_beta 90.00
_cell_angle_gamma 90.00
_symmetry_space_group_name_H-M 'P m -3 m'
_symmetry_Int_Tables_number 221
_symmetry_space_group_name_Hall '-P 4 2 3'
loop_
_atom_site_label
_atom_site_fract_x
_atom_site_fract_y
_atom_site_fract_z
Mg1 0.0000 0.0000 0.0000
Be1 0.0000 0.0000 0.5000
Bi1 0.5000 0.5000 0.5000
```

No. 11
DFT (GGA-PBE) results for an optimized crystal structure of MgBe2Bi2.

Computed properties:
- calculated formation energy (eV/atom) = 0.337
- D(E_F) (states/eV/f.u.) = 1.93
- raw total energy (eV/atom) = -3.025

```
data_MgBe2Bi2
_chemical_formula_sum 'Mg2 Be4 Bi4'
_cell_length_a 3.7566
_cell_length_b 3.7566
_cell_length_c 15.9269
_cell_angle_alpha 90.00
_cell_angle_beta 90.00
_cell_angle_gamma 90.00
_symmetry_space_group_name_H-M 'I 4/m m m'
_symmetry_Int_Tables_number 139
_symmetry_space_group_name_Hall '-I 4 2'
loop_
_atom_site_label
_atom_site_fract_x
_atom_site_fract_y
_atom_site_fract_z
Mg1 0.0000 0.0000 0.0000
Be1 0.0000 0.5000 0.2500
Bi1 0.0000 0.0000 0.3662
```

No. 12
DFT (GGA-PBE) results for an optimized crystal structure of MgBe2Bi.

Computed properties:
- energy above the most stable polymorph in this dataset (meV/atom) = 105
- calculated formation energy (eV/atom) = 0.763
- D(E_F) (states/eV/f.u.) = 2.32
- raw total energy (eV/atom) = -2.469

```
data_MgBe2Bi
_chemical_formula_sum 'Mg4 Be8 Bi4'
_cell_length_a 7.4927
_cell_length_b 7.4927
_cell_length_c 5.6406
_cell_angle_alpha 90.00
_cell_angle_beta 90.00
_cell_angle_gamma 90.00
_symmetry_space_group_name_H-M 'I -4 2 d'
_symmetry_Int_Tables_number 122
_symmetry_space_group_name_Hall 'I -4 2bw'
loop_
_atom_site_label
_atom_site_fract_x
_atom_site_fract_y
_atom_site_fract_z
Mg1 0.0000 0.0000 0.0000
Be1 0.2254 0.2500 0.6250
Bi1 0.0000 0.0000 0.5000
```

No. 13
DFT (GGA-PBE) results for an optimized crystal structure of MgBe2BiPd.

Computed properties:
- calculated formation energy (eV/atom) = 0.966
- D(E_F) (states/eV/f.u.) = 3.23
- raw total energy (eV/atom) = -2.658

```
data_MgBe2BiPd
_chemical_formula_sum 'Mg1 Be2 Bi1 Pd1'
_cell_length_a 4.7046
_cell_length_b 4.7046
_cell_length_c 5.2870
_cell_angle_alpha 90.00
_cell_angle_beta 90.00
_cell_angle_gamma 90.00
_symmetry_space_group_name_H-M 'P 4/m m m'
_symmetry_Int_Tables_number 123
_symmetry_space_group_name_Hall '-P 4 2'
loop_
_atom_site_label
_atom_site_fract_x
_atom_site_fract_y
_atom_site_fract_z
Mg1 0.0000 0.0000 0.0000
Be1 0.0000 0.5000 0.5000
Bi1 0.5000 0.5000 0.5000
Pd1 0.5000 0.5000 0.0000
```

No. 14
DFT (GGA-PBE) results for an optimized crystal structure of MgBe2BiRh.

Computed properties:
- calculated formation energy (eV/atom) = 1.406
- D(E_F) (states/eV/f.u.) = 1.31
- raw total energy (eV/atom) = -2.650

```
data_MgBe2BiRh
_chemical_formula_sum 'Mg1 Be2 Bi1 Rh1'
_cell_length_a 4.5340
_cell_length_b 4.5340
_cell_length_c 5.4389
_cell_angle_alpha 90.00
_cell_angle_beta 90.00
_cell_angle_gamma 90.00
_symmetry_space_group_name_H-M 'P 4/m m m'
_symmetry_Int_Tables_number 123
_symmetry_space_group_name_Hall '-P 4 2'
loop_
_atom_site_label
_atom_site_fract_x
_atom_site_fract_y
_atom_site_fract_z
Mg1 0.0000 0.0000 0.0000
Be1 0.0000 0.5000 0.5000
Bi1 0.0000 0.0000 0.5000
Rh1 0.5000 0.5000 0.0000
```